## AcPu2Hg6 (PBE-GGA)

Data for a relaxed structure of AcPu2Hg6.

Lattice parameters (Å, degrees): 8.9158 8.9158 3.4162 90.00 90.00 120.00
Closest atoms and distances in Å follow each position.
Fractional coordinates of all 9 atoms:
Ac1 0.0000 0.0000 0.0000  2 Ac 3.42, 12 Hg 3.46
Pu1 0.3333 0.6667 0.0000  12 Hg 3.41, 2 Pu 3.42
Pu2 0.6667 0.3333 0.0000  12 Hg 3.41, 2 Pu 3.42
Hg1 0.0000 0.3374 0.5000  3 Hg 2.90-3.01
Hg2 0.0000 0.6626 0.5000  3 Hg 2.90-3.01
Hg3 0.3374 0.0000 0.5000  3 Hg 2.90-3.01
Hg4 0.3374 0.3374 0.5000  3 Hg 2.90-3.01
Hg5 0.6626 0.0000 0.5000  3 Hg 2.90-3.01
Hg6 0.6626 0.6626 0.5000  3 Hg 2.90-3.01

Properties
V ... 235.2 Å³/f.u.
DFT total energy ... -4.0890 eV/atom

=====

## ZnSbPd (PBE-GGA)

Data for a relaxed structure of ZnSbPd.

Lattice parameters (Å, degrees): 3.2700 3.2700 22.2509 90.00 90.00 90.00
Closest atoms and distances in Å follow each position.
Fractional coordinates of all 12 atoms:
Zn1 0.0000 0.0000 0.2186  4 Zn 2.70, 5 Pd 2.71-2.82
Zn2 0.0000 0.0000 0.7814  4 Zn 2.70, 5 Pd 2.71-2.82
Zn3 0.5000 0.5000 0.2814  4 Zn 2.70, 5 Pd 2.71-2.82
Zn4 0.5000 0.5000 0.7186  4 Zn 2.70, 5 Pd 2.71-2.82
Sb1 0.0000 0.0000 0.0804  4 Pd 2.84, 1 Zn 3.07
Sb2 0.0000 0.0000 0.9196  4 Pd 2.84, 1 Zn 3.07
Sb3 0.5000 0.5000 0.4196  4 Pd 2.84, 1 Zn 3.07
Sb4 0.5000 0.5000 0.5804  4 Pd 2.84, 1 Zn 3.07
Pd1 0.0000 0.0000 0.3451  5 Zn 2.71-2.82, 4 Sb 2.84
Pd2 0.0000 0.0000 0.6549  5 Zn 2.71-2.82, 4 Sb 2.84
Pd3 0.5000 0.5000 0.1549  5 Zn 2.71-2.82, 4 Sb 2.84
Pd4 0.5000 0.5000 0.8451  5 Zn 2.71-2.82, 4 Sb 2.84

Properties
V ... 59.5 Å³/f.u.
DFT total energy ... -3.8109 eV/atom

=====

## AcErPu2O8 (PBE-GGA)

Data for a relaxed structure of AcErPu2O8.

Lattice parameters (Å, degrees): 6.6516 6.6516 6.6516 131.23 131.23 71.44
Closest atoms and distances in Å follow each position.
Fractional coordinates of all 12 atoms:
Ac1 0.0000 0.0000 0.0000  8 O 2.49
Er1 0.2500 0.7500 0.5000  8 O 2.38
Pu1 0.5000 0.5000 0.0000  8 O 2.29
Pu2 0.7500 0.2500 0.5000  8 O 2.31
O1 0.1313 0.1423 0.5321  2 Pu 2.29-2.31, 1 Er 2.38, 1 Ac 2.49, 1 O 2.51
O2 0.1313 0.5993 0.9890  2 Pu 2.29-2.31, 1 Er 2.38, 1 Ac 2.49, 1 O 2.51
O3 0.4007 0.3898 0.5321  2 Pu 2.29-2.31, 1 Er 2.38, 1 Ac 2.49, 1 O 2.51
O4 0.4007 0.8687 0.0110  2 Pu 2.29-2.31, 1 Er 2.38, 1 Ac 2.49, 1 O 2.51
O5 0.6102 0.1423 0.0110  2 Pu 2.29-2.31, 1 Er 2.38, 1 Ac 2.49, 1 O 2.51
O6 0.6102 0.5993 0.4679  2 Pu 2.29-2.31, 1 Er 2.38, 1 Ac 2.49, 1 O 2.51
O7 0.8577 0.3898 0.9890  2 Pu 2.29-2.31, 1 Er 2.38, 1 Ac 2.49, 1 O 2.51
O8 0.8577 0.8687 0.4679  2 Pu 2.29-2.31, 1 Er 2.38, 1 Ac 2.49, 1 O 2.51

Properties
V ... 162.9 Å³/f.u.
DFT total energy ... -9.4857 eV/atom

=====

Spin magnetization list, top to bottom, in μB per formula unit: 11.805, 0.000, 6.000